12
Lattice="3.105 -5.378 0.000 3.105 5.378 0.000 -2.066 0.000 11.702" Properties=species:S:1:pos:R:3 comment="PBE-GGA La2Tb6YHo3, optimized geometry" n_ef_per_ev_fu=16.34 formation_energy_ev_per_atom=0.022 density_g_cm3=7.71 m_tot_mub_per_cell=0.0 dft_energy_ev_per_atom=-4.80 vol_a3_per_fu=390.9 pbc="T T T"
La 3.105 3.588 0.000
La 3.105 -3.588 0.000
Tb 0.002 1.789 8.719
Tb 1.044 0.000 2.987
Tb 0.002 -1.789 8.719
Tb 4.142 1.789 2.984
Tb 3.101 0.000 8.715
Tb 4.142 -1.789 2.984
Y 3.105 0.000 0.000
Ho -1.033 0.000 5.851
Ho 2.072 1.789 5.851
Ho 2.072 -1.789 5.851